Compound: Sr3La2
Source: Alexandria via LeMat-Bulk
Functional: GGA-PBE
Structure: optimized geometry

Properties
ΔE_f: 1.0 eV per formula unit
raw total energy: -2.779 eV per atom

```
data_Sr3La2
_chemical_formula_sum 'Sr24 La16'
_symmetry_space_group_name_H-M 'F d d 2'
_symmetry_Int_Tables_number 43
_symmetry_space_group_name_Hall 'F 2 -2d'
_cell_length_a 13.4390
_cell_length_b 19.1999
_cell_length_c 7.0655
_cell_angle_alpha 90.00
_cell_angle_beta 90.00
_cell_angle_gamma 90.00
loop_
_atom_site_label
_atom_site_type_symbol
_atom_site_fract_x
_atom_site_fract_y
_atom_site_fract_z
Sr1 Sr 0.0000 0.0000 0.0000
Sr2 Sr 0.0364 0.3994 0.0208
La1 La 0.0206 0.2958 0.5594
```